[1]
# AcTb3Pr4Te8 | Alexandria via LeMat-Bulk | PBE | optimized geometry
data_AcTb3Pr4Te8
_chemical_formula_sum 'Ac3 Tb9 Pr12 Te24'
_space_group_name_H-M_alt 'R -3 m'
_space_group_IT_number 166
_space_group_name_Hall '-R 3 2"'
_cell_length_a 8.9653
_cell_length_b 8.9653
_cell_length_c 22.2590
_cell_angle_alpha 90.00
_cell_angle_beta 90.00
_cell_angle_gamma 120.00
loop_
_atom_site_label
_atom_site_fract_x
_atom_site_fract_y
_atom_site_fract_z
Ac1 0.0000 0.0000 0.0000
Tb1 0.0000 0.5000 0.0000
Pr1 0.0000 0.0000 0.5000
Pr2 0.0000 0.5000 0.5000
Te1 0.0000 0.0000 0.2545
Te2 0.0115 0.5058 0.2519
# - ΔE_f (raw) (meV per atom) = -1382

=====

[2]
# Mg4Ge2H | Alexandria via LeMat-Bulk | PBE | optimized geometry
data_Mg4Ge2H
_chemical_formula_sum 'Mg8 Ge4 H2'
_space_group_name_H-M_alt 'I 4/m m m'
_space_group_IT_number 139
_space_group_name_Hall '-I 4 2'
_cell_length_a 4.150
_cell_length_b 4.150
_cell_length_c 14.381
_cell_angle_alpha 90.00
_cell_angle_beta 90.00
_cell_angle_gamma 90.00
loop_
_atom_site_label
_atom_site_fract_x
_atom_site_fract_y
_atom_site_fract_z
Mg1 0.000 0.000 0.176
Mg2 0.000 0.500 0.000
Ge1 0.000 0.000 0.366
H1 0.000 0.000 0.000
# - calculated total energy (eV/atom) = -2.861

=====

[3]
# Tb8Sm2Cd | Alexandria via LeMat-Bulk | PBE | optimized geometry
data_Tb8Sm2Cd
_chemical_formula_sum 'Tb16 Sm4 Cd2'
_space_group_name_H-M_alt 'C 1 2/m 1'
_space_group_IT_number 12
_cell_length_a 18.022
_cell_length_b 5.001
_cell_length_c 7.903
_cell_angle_alpha 90.00
_cell_angle_beta 105.51
_cell_angle_gamma 90.00
loop_
_space_group_symop_operation_xyz
'x,y,z'
'-x,-y,-z'
'-x,y,-z'
'x,-y,z'
'x+1/2,y+1/2,z'
'-x+1/2,-y+1/2,-z'
'-x+1/2,y+1/2,-z'
'x+1/2,-y+1/2,z'
loop_
_atom_site_label
_atom_site_fract_x
_atom_site_fract_y
_atom_site_fract_z
Tb1 0.045 0.000 0.222
Tb2 0.089 0.500 0.945
Tb3 0.134 0.000 0.676
Tb4 0.181 0.500 0.410
Sm1 0.224 0.000 0.136
Cd1 0.000 0.500 0.500
# - distance to the lowest polymorph of the same formula (meV/atom) = 0.0

=====

[4]
# YInPb4 | Alexandria via LeMat-Bulk | PBE | optimized geometry
data_YInPb4
_chemical_formula_sum 'Y4 In4 Pb16'
_space_group_name_H-M_alt 'F -4 3 m'
_space_group_IT_number 216
_space_group_name_Hall 'F -4 2 3'
_cell_length_a 9.131
_cell_length_b 9.131
_cell_length_c 9.131
_cell_angle_alpha 90.00
_cell_angle_beta 90.00
_cell_angle_gamma 90.00
loop_
_atom_site_label
_atom_site_fract_x
_atom_site_fract_y
_atom_site_fract_z
Y1 0.000 0.000 0.000
In1 0.250 0.250 0.750
Pb1 0.126 0.126 0.374
# - calculated total energy (eV/atom) = -3.969

=====

[5]
# RbGaO2 | Alexandria via LeMat-Bulk | PBE | optimized geometry
data_RbGaO2
_chemical_formula_sum 'Rb4 Ga4 O8'
_space_group_name_H-M_alt 'C m c m'
_space_group_IT_number 63
_space_group_name_Hall '-C 2c 2'
_cell_length_a 3.122
_cell_length_b 16.708
_cell_length_c 5.573
_cell_angle_alpha 90.00
_cell_angle_beta 90.00
_cell_angle_gamma 90.00
loop_
_atom_site_label
_atom_site_fract_x
_atom_site_fract_y
_atom_site_fract_z
Rb1 0.000 0.068 0.250
Ga1 0.000 0.314 0.250
O1 0.000 0.118 0.750
O2 0.000 0.210 0.250
# - ΔE_f (raw) (meV per atom) = -1233

=====

[6]
# BeHgAu2 | Alexandria via LeMat-Bulk | PBE | optimized geometry
data_BeHgAu2
_chemical_formula_sum 'Be2 Hg2 Au4'
_space_group_name_H-M_alt 'C 1 2/m 1'
_space_group_IT_number 12
_cell_length_a 10.687
_cell_length_b 2.855
_cell_length_c 5.372
_cell_angle_alpha 90.00
_cell_angle_beta 120.10
_cell_angle_gamma 90.00
loop_
_space_group_symop_operation_xyz
'x,y,z'
'-x,-y,-z'
'-x,y,-z'
'x,-y,z'
'x+1/2,y+1/2,z'
'-x+1/2,-y+1/2,-z'
'-x+1/2,y+1/2,-z'
'x+1/2,-y+1/2,z'
loop_
_atom_site_label
_atom_site_fract_x
_atom_site_fract_y
_atom_site_fract_z
Be1 0.000 0.000 0.000
Hg1 0.000 0.500 0.500
Au1 0.201 0.500 0.201
# - distance to the lowest polymorph of the same formula (meV/atom) = 77.8

=====

[7]
# AcMg5Tl3 | Alexandria via LeMat-Bulk | PBE | optimized geometry
data_AcMg5Tl3
_chemical_formula_sum 'Ac4 Mg20 Tl12'
_space_group_name_H-M_alt 'C m c m'
_space_group_IT_number 63
_space_group_name_Hall '-C 2c 2'
_cell_length_a 4.624
_cell_length_b 15.042
_cell_length_c 13.995
_cell_angle_alpha 90.00
_cell_angle_beta 90.00
_cell_angle_gamma 90.00
loop_
_atom_site_label
_atom_site_fract_x
_atom_site_fract_y
_atom_site_fract_z
Ac1 0.000 0.165 0.250
Mg1 0.000 0.000 0.000
Mg2 0.000 0.195 0.549
Mg3 0.000 0.429 0.141
Tl1 0.000 0.140 0.750
Tl2 0.000 0.386 0.573
# - calculated total energy (eV/atom) = -2.245

=====

[8]
# PuZrHg | Alexandria via LeMat-Bulk | PBE | optimized geometry
data_PuZrHg
_chemical_formula_sum 'Pu2 Zr2 Hg2'
_space_group_name_H-M_alt 'P 1 21/m 1'
_space_group_IT_number 11
_cell_length_a 3.122
_cell_length_b 5.388
_cell_length_c 8.749
_cell_angle_alpha 90.00
_cell_angle_beta 100.17
_cell_angle_gamma 90.00
loop_
_space_group_symop_operation_xyz
'x,y,z'
'-x,-y,-z'
'-x,y+1/2,-z'
'x,-y+1/2,z'
loop_
_atom_site_label
_atom_site_fract_x
_atom_site_fract_y
_atom_site_fract_z
Pu1 0.110 0.250 0.224
Zr1 0.222 0.750 0.442
Hg1 0.444 0.250 0.887
# - distance to the lowest polymorph of the same formula (meV/atom) = 0.0

=====

[9]
# Os2C | Alexandria via LeMat-Bulk | PBE | optimized geometry
data_Os2C
_chemical_formula_sum 'Os4 C2'
_space_group_name_H-M_alt 'I 4/m m m'
_space_group_IT_number 139
_space_group_name_Hall '-I 4 2'
_cell_length_a 2.716
_cell_length_b 2.716
_cell_length_c 9.196
_cell_angle_alpha 90.00
_cell_angle_beta 90.00
_cell_angle_gamma 90.00
loop_
_atom_site_label
_atom_site_fract_x
_atom_site_fract_y
_atom_site_fract_z
Os1 0.000 0.000 0.145
C1 0.000 0.000 0.500
# - distance to the lowest polymorph of the same formula (meV/atom) = 450.7

=====

[10]
# RePOs2 | Alexandria via LeMat-Bulk | PBE | optimized geometry
data_RePOs2
_chemical_formula_sum 'Re2 P2 Os4'
_space_group_name_H-M_alt 'I 4/m m m'
_space_group_IT_number 139
_space_group_name_Hall '-I 4 2'
_cell_length_a 3.839
_cell_length_b 3.839
_cell_length_c 7.617
_cell_angle_alpha 90.00
_cell_angle_beta 90.00
_cell_angle_gamma 90.00
loop_
_atom_site_label
_atom_site_fract_x
_atom_site_fract_y
_atom_site_fract_z
Re1 0.000 0.000 0.000
P1 0.000 0.000 0.500
Os1 0.000 0.500 0.250
# - calculated total energy (eV/atom) = -9.630

=====

[11]
# MgSbAs2 | Alexandria via LeMat-Bulk | PBE | optimized geometry
data_MgSbAs2
_chemical_formula_sum 'Mg1 Sb1 As2'
_space_group_name_H-M_alt 'P m m m'
_space_group_IT_number 47
_cell_length_a 3.588
_cell_length_b 4.800
_cell_length_c 5.006
_cell_angle_alpha 90.00
_cell_angle_beta 90.00
_cell_angle_gamma 90.00
loop_
_space_group_symop_operation_xyz
'x,y,z'
'-x,-y,-z'
'-x,-y,z'
'x,y,-z'
'x,-y,-z'
'-x,y,z'
'-x,y,-z'
'x,-y,z'
loop_
_atom_site_label
_atom_site_fract_x
_atom_site_fract_y
_atom_site_fract_z
Mg1 0.000 0.000 0.000
Sb1 0.500 0.000 0.500
As1 0.000 0.500 0.500
As2 0.500 0.500 0.000
# - ΔE_f (raw) (meV per atom) = 107
# - distance to the lowest polymorph of the same formula (meV/atom) = 276.7

=====

[12]
# In2Sn3Br8 | Alexandria via LeMat-Bulk | PBE | optimized geometry
data_In2Sn3Br8
_chemical_formula_sum 'In4 Sn6 Br16'
_space_group_name_H-M_alt 'C 1 2/m 1'
_space_group_IT_number 12
_cell_length_a 16.270
_cell_length_b 8.791
_cell_length_c 7.616
_cell_angle_alpha 90.00
_cell_angle_beta 108.92
_cell_angle_gamma 90.00
loop_
_space_group_symop_operation_xyz
'x,y,z'
'-x,-y,-z'
'-x,y,-z'
'x,-y,z'
'x+1/2,y+1/2,z'
'-x+1/2,-y+1/2,-z'
'-x+1/2,y+1/2,-z'
'x+1/2,-y+1/2,z'
loop_
_atom_site_label
_atom_site_fract_x
_atom_site_fract_y
_atom_site_fract_z
In1 0.235 0.000 0.165
Sn1 0.000 0.240 0.500
Sn2 0.000 0.500 0.000
Br1 0.112 0.000 0.440
Br2 0.112 0.263 0.902
Br3 0.112 0.500 0.403
# - ΔE_f (raw) (meV per atom) = -732
# - distance to the lowest polymorph of the same formula (meV/atom) = 0.0

=====

It is found that the V values, taken in the order of the records, are 32.3; 17.7; 31.2; 31.7; 18.2; 17.7; 27.0; 24.1; 11.3; 14.0; 21.6; 39.6 A^3/atom.